(1)
Here is crystalline Pu12AgIr6 at its relaxed geometry from the Alexandria database. Energies are from GGA-PBE.

The structure in extended XYZ format:
```
19
Lattice="-7.503 3.475 -0.883 -0.341 -7.397 -3.784 0.980 -1.520 8.117" Properties=species:S:1:pos:R:3 pbc="T T T"
Pu -6.120 1.360 2.814
Pu -5.960 -2.308 1.801
Pu -3.784 -3.589 4.110
Pu -2.742 -0.346 2.393
Pu -3.081 -1.853 -0.660
Pu -0.905 -3.135 1.648
Pu -0.248 -4.596 5.103
Pu -3.928 -4.927 -2.742
Pu -0.744 -6.802 0.636
Pu -6.616 -0.846 -1.653
Pu -2.936 -0.515 6.192
Pu -4.123 -5.097 1.057
Ag 0.000 0.000 0.000
Ir -4.997 0.009 0.550
Ir -1.423 -2.096 4.343
Ir -1.979 -4.572 -0.672
Ir -5.442 -3.347 -0.893
Ir -1.867 -5.452 2.899
Ir -4.885 -0.870 4.122
```

Space-group type: No. 166

***

(2)
Here is crystalline MnTc3Pb at its relaxed geometry from the Alexandria database. Energies are from GGA-PBE.

The structure in extended XYZ format:
```
5
Lattice="-2.128 2.617 2.977 -1.958 -3.632 1.794 3.447 -0.447 2.857" Properties=species:S:1:pos:R:3 pbc="T T T"
Pb -0.319 -0.731 3.814
Mn 0.000 0.000 0.000
Tc -0.979 -1.816 0.897
Tc 1.723 -0.223 1.428
Tc -1.064 1.309 1.488
```

Space-group type: No. 221

***

(3)
Here is crystalline Nd2Ge3Pd5 at its relaxed geometry from the Alexandria database. Energies are from GGA-PBE.

The structure in extended XYZ format:
```
20
Lattice="4.370 0.000 -0.744 0.000 6.983 0.000 -0.156 0.000 12.286" Properties=species:S:1:pos:R:3 pbc="T T T"
Nd 1.947 5.281 11.429
Nd 0.707 5.176 4.152
Nd 3.507 1.684 7.389
Nd 2.268 1.790 0.112
Ge 3.301 4.750 6.175
Ge 2.605 4.030 2.093
Ge 0.223 6.653 1.307
Ge 0.914 1.259 5.366
Ge 3.992 3.162 10.235
Ge 1.610 0.539 9.449
Pd 1.585 3.235 9.306
Pd 1.111 3.458 6.522
Pd 3.104 6.950 5.020
Pd 0.503 1.681 2.952
Pd 1.230 6.256 7.223
Pd 4.011 0.433 10.346
Pd 2.984 2.765 4.319
Pd 3.712 5.172 8.590
Pd 0.204 3.924 1.195
Pd 2.629 6.726 2.235
```

Space-group type: No. 36

***

Number 1: raw total energy -12.141 eV per atom, V 483.5 Å³/cell. Number 2: raw total energy -7.679 eV per atom, V 91.1 Å³/cell. Number 3: raw total energy -5.685 eV per atom, V 374.1 Å³/cell.